# 1
Here is a relaxed structure of Pr2Ho2CBr4Cl from OQMD via LeMat-Bulk. Energies are from PBE.

Calculated values
Energy relative to the lowest polymorph listed for this composition (meV per atom): 12.3

a = 18.018 Å, b = 3.805 Å, c = 8.046 Å
α = 90.00°, β = 103.25°, γ = 90.00°
Space group C2/m (No. 12)
Unique sites:
Pr: 0.145 0.000 0.078 [4 per cell]
Ho: 0.001 0.500 0.794 [4 per cell]
C: 0.000 0.000 0.000 [2 per cell]
Br: 0.159 0.500 0.364 [4 per cell]
Br: 0.165 0.500 0.801 [4 per cell]
Cl: 0.000 0.000 0.500 [2 per cell]



# 2
Here is a relaxed structure of BaTbGa from OQMD via LeMat-Bulk. Energies are from PBE.

Calculated values
Energy (eV/cell): -31.89

a = 7.466 Å, b = 7.466 Å, c = 7.466 Å
α = 90.00°, β = 90.00°, γ = 90.00°
Space group F-43m (No. 216)
Unique sites:
Ba: 0.000 0.000 0.000 [4 per cell]
Tb: 0.250 0.250 0.250 [4 per cell]
Ga: 0.250 0.250 0.750 [4 per cell]



# 3
Here is a relaxed structure of RbErO3 from OQMD via LeMat-Bulk. Energies are from PBE.

Calculated values
Energy (eV/cell): -119.30

a = 6.145 Å, b = 9.519 Å, c = 6.105 Å
α = 90.00°, β = 90.00°, γ = 90.00°
Space group Pnma (No. 62)
Unique sites:
Rb: 0.000 0.000 0.000 [4 per cell]
Er: 0.013 0.250 0.490 [4 per cell]
O: 0.230 0.750 0.757 [4 per cell]
O: 0.242 0.671 0.257 [8 per cell]



# 4
Here is a relaxed structure of SmHoCd4 from OQMD via LeMat-Bulk. Energies are from PBE.

Calculated values
ΔE_f (eV/atom): -0.331

a = 3.391 Å, b = 4.976 Å, c = 8.616 Å
α = 90.00°, β = 90.02°, γ = 90.00°
Space group P2/m (No. 10)
Unique sites:
Sm: 0.000 0.000 0.000 [1 per cell]
Ho: 0.000 0.500 0.500 [1 per cell]
Cd: 0.497 0.000 0.664 [2 per cell]
Cd: 0.497 0.500 0.170 [2 per cell]



# 5
Here is a relaxed structure of CsMgBiPt from OQMD via LeMat-Bulk. Energies are from PBE.

Calculated values
Energy relative to the lowest polymorph listed for this composition (meV per atom): 0.0

a = 7.527 Å, b = 7.527 Å, c = 7.527 Å
α = 90.00°, β = 90.00°, γ = 90.00°
Space group F-43m (No. 216)
Unique sites:
Cs: 0.000 0.000 0.000 [4 per cell]
Mg: 0.250 0.250 0.250 [4 per cell]
Bi: 0.250 0.250 0.750 [4 per cell]
Pt: 0.000 0.000 0.500 [4 per cell]



# 6
Here is a relaxed structure of Ta2CdN from OQMD via LeMat-Bulk. Energies are from PBE.

Calculated values
Energy (eV/cell): -138.29

a = 3.127 Å, b = 5.417 Å, c = 14.524 Å
α = 90.00°, β = 90.00°, γ = 90.00°
Space group Cmcm (No. 63)
Unique sites:
Ta: 0.000 0.167 0.082 [8 per cell]
Cd: 0.000 0.166 0.750 [4 per cell]
N: 0.000 0.500 0.000 [4 per cell]



# 7
Here is a relaxed structure of CsAg3PdS4 from OQMD via LeMat-Bulk. Energies are from PBE.

Calculated values
Energy (eV/cell): -31.88

a = 6.361 Å, b = 6.361 Å, c = 6.361 Å
α = 90.00°, β = 90.00°, γ = 90.00°
Space group P-43m (No. 215)
Unique sites:
Cs: 0.000 0.000 0.000 [1 per cell]
Ag: 0.000 0.500 0.500 [3 per cell]
Pd: 0.500 0.500 0.500 [1 per cell]
S: 0.288 0.288 0.288 [4 per cell]



# 8
Here is a relaxed structure of KHg3PdS4 from OQMD via LeMat-Bulk. Energies are from PBE.

Calculated values
Energy (eV/cell): -24.60

a = 6.332 Å, b = 6.332 Å, c = 6.332 Å
α = 90.00°, β = 90.00°, γ = 90.00°
Space group P-43m (No. 215)
Unique sites:
K: 0.000 0.000 0.000 [1 per cell]
Hg: 0.000 0.500 0.500 [3 per cell]
Pd: 0.500 0.500 0.500 [1 per cell]
S: 0.270 0.270 0.270 [4 per cell]



# 9
Here is a relaxed structure of YHoPu from OQMD via LeMat-Bulk. Energies are from PBE.

Calculated values
Energy relative to the lowest polymorph listed for this composition (meV per atom): 0.0
ΔE_f (eV/atom): 0.829

a = 7.501 Å, b = 7.501 Å, c = 7.501 Å
α = 90.00°, β = 90.00°, γ = 90.00°
Space group F-43m (No. 216)
Unique sites:
Y: 0.000 0.000 0.000 [4 per cell]
Ho: 0.250 0.250 0.750 [4 per cell]
Pu: 0.000 0.000 0.500 [4 per cell]



# 10
Here is a relaxed structure of Zr2BiW from OQMD via LeMat-Bulk. Energies are from PBE.

Calculated values
Energy (eV/cell): -130.96

a = 6.941 Å, b = 6.941 Å, c = 6.941 Å
α = 90.00°, β = 90.00°, γ = 90.00°
Space group F-43m (No. 216)
Unique sites:
Zr: 0.000 0.000 0.000 [4 per cell]
Zr: 0.250 0.250 0.250 [4 per cell]
Bi: 0.000 0.000 0.500 [4 per cell]
W: 0.250 0.250 0.750 [4 per cell]



# 11
Here is a relaxed structure of KAuO3 from OQMD via LeMat-Bulk. Energies are from PBE.

Calculated values
Energy (eV/cell): -120.65

a = 5.8524 Å, b = 5.8524 Å, c = 13.4755 Å
α = 90.00°, β = 90.00°, γ = 120.00°
Space group R-3c (No. 167, hexagonal axes)
Unique sites:
K: 0.0000 0.0000 0.2500 [6 per cell]
Au: 0.0000 0.0000 0.0000 [6 per cell]
O: 0.0000 0.4254 0.2500 [18 per cell]



# 12
Here is a relaxed structure of CuSiPdW from OQMD via LeMat-Bulk. Energies are from PBE.

Calculated values
Energy relative to the lowest polymorph listed for this composition (meV per atom): 0.0

a = 6.107 Å, b = 6.107 Å, c = 6.107 Å
α = 90.00°, β = 90.00°, γ = 90.00°
Space group F-43m (No. 216)
Unique sites:
Cu: 0.000 0.000 0.000 [4 per cell]
Si: 0.250 0.250 0.750 [4 per cell]
Pd: 0.250 0.250 0.250 [4 per cell]
W: 0.000 0.000 0.500 [4 per cell]



# 13
Here is a relaxed structure of AlAs2Au from OQMD via LeMat-Bulk. Energies are from PBE.

Calculated values
Energy (eV/cell): -61.58

a = 6.668 Å, b = 6.668 Å, c = 6.668 Å
α = 90.00°, β = 90.00°, γ = 90.00°
Space group F-43m (No. 216)
Unique sites:
Al: 0.000 0.000 0.000 [4 per cell]
As: 0.000 0.000 0.500 [4 per cell]
As: 0.250 0.250 0.750 [4 per cell]
Au: 0.250 0.250 0.250 [4 per cell]



# 14
Here is a relaxed structure of Pr2Nb2Cl2O7 from OQMD via LeMat-Bulk. Energies are from PBE.

Calculated values
Energy (eV/cell): -208.77

a = 15.347 Å, b = 3.958 Å, c = 6.991 Å
α = 90.00°, β = 113.91°, γ = 90.00°
Space group C2/m (No. 12)
Unique sites:
Pr: 0.192 0.000 0.167 [4 per cell]
Nb: 0.034 0.500 0.796 [4 per cell]
Cl: 0.177 0.000 0.566 [4 per cell]
O: 0.000 0.500 0.500 [2 per cell]
O: 0.044 0.000 0.837 [4 per cell]
O: 0.082 0.500 0.155 [4 per cell]
O: 0.176 0.500 0.932 [4 per cell]



# 15
Here is a relaxed structure of CsLuTa from OQMD via LeMat-Bulk. Energies are from PBE.

Calculated values
Energy relative to the lowest polymorph listed for this composition (meV per atom): 434.8

a = 7.124 Å, b = 7.124 Å, c = 7.124 Å
α = 90.00°, β = 90.00°, γ = 90.00°
Space group F-43m (No. 216)
Unique sites:
Cs: 0.000 0.000 0.000 [4 per cell]
Lu: 0.250 0.250 0.750 [4 per cell]
Ta: 0.250 0.250 0.250 [4 per cell]



# 16
Here is a relaxed structure of HoHgPt2 from OQMD via LeMat-Bulk. Energies are from PBE.

Calculated values
ΔE_f (eV/atom): -0.751

a = 5.040 Å, b = 5.070 Å, c = 12.031 Å
α = 90.00°, β = 90.00°, γ = 90.00°
Space group Cmcm (No. 63)
Unique sites:
Ho: 0.000 0.014 0.250 [4 per cell]
Hg: 0.000 0.000 0.000 [4 per cell]
Pt: 0.000 0.490 0.624 [8 per cell]



# 17
Here is a relaxed structure of Si2W8C3N3 from OQMD via LeMat-Bulk. Energies are from PBE.

Calculated values
Energy (eV/cell): -163.31

a = 2.9963 Å, b = 2.9963 Å, c = 23.8093 Å
α = 90.00°, β = 90.00°, γ = 120.00°
Space group P-3m1 (No. 164)
Unique sites:
Si: 0.3333 0.6667 0.2459 [2 per cell]
W: 0.0000 0.0000 0.1637 [2 per cell]
W: 0.0000 0.0000 0.3238 [2 per cell]
W: 0.3333 0.6667 0.0551 [2 per cell]
W: 0.3333 0.6667 0.4403 [2 per cell]
C: 0.0000 0.0000 0.0000 [1 per cell]
C: 0.3333 0.6667 0.8884 [2 per cell]
N: 0.0000 0.0000 0.5000 [1 per cell]
N: 0.3333 0.6667 0.6168 [2 per cell]



# 18
Here is a relaxed structure of YTmMo2C3 from OQMD via LeMat-Bulk. Energies are from PBE.

Calculated values
Energy (eV/cell): -125.32

a = 11.302 Å, b = 3.377 Å, c = 5.672 Å
α = 90.00°, β = 108.10°, γ = 90.00°
Space group Cm (No. 8)
Unique sites:
Y: 0.000 0.000 0.000 [2 per cell]
Tm: 0.228 0.000 0.640 [2 per cell]
Mo: 0.263 0.500 0.194 [2 per cell]
Mo: 0.464 0.000 0.449 [2 per cell]
C: 0.115 0.500 0.326 [2 per cell]
C: 0.342 0.000 0.077 [2 per cell]
C: 0.383 0.500 0.563 [2 per cell]



# 19
Here is a relaxed structure of Gd2Te5 from OQMD via LeMat-Bulk. Energies are from PBE.

Calculated values
Energy (eV/cell): -129.65

a = 4.389 Å, b = 44.485 Å, c = 4.391 Å
α = 90.00°, β = 90.00°, γ = 90.00°
Space group Cmcm (No. 63)
Unique sites:
Gd: 0.000 0.101 0.250 [4 per cell]
Gd: 0.000 0.306 0.250 [4 per cell]
Te: 0.000 0.045 0.750 [4 per cell]
Te: 0.000 0.174 0.250 [4 per cell]
Te: 0.000 0.250 0.750 [4 per cell]
Te: 0.000 0.377 0.250 [4 per cell]
Te: 0.000 0.455 0.750 [4 per cell]



# 20
Here is a relaxed structure of AlNiPPd4 from OQMD via LeMat-Bulk. Energies are from PBE.

Calculated values
Energy (eV/cell): -39.52

a = 3.906 Å, b = 3.906 Å, c = 6.584 Å
α = 90.00°, β = 90.00°, γ = 90.00°
Space group P4/mmm (No. 123)
Unique sites:
Al: 0.000 0.000 0.000 [1 per cell]
Ni: 0.500 0.500 0.000 [1 per cell]
P: 0.500 0.500 0.500 [1 per cell]
Pd: 0.000 0.500 0.278 [4 per cell]